K3MgTe2O6 PBE optimized geometry; E_form (uncorrected) = -1.488 eV per atom; space group = P-3m1 (164)
1.0
5.8995 0.0000 0.0000
-2.9497 5.1091 0.0000
0.0000 0.0000 7.0145
K O Te Mg
3 6 2 1
direct
0.6667 0.3333 0.3493 K
0.3333 0.6667 0.6507 K
0.0000 0.0000 0.0000 K
0.1706 0.3413 0.3145 O
0.1706 0.8294 0.3145 O
0.6587 0.8294 0.3145 O
0.3413 0.1706 0.6855 O
0.8294 0.6587 0.6855 O
0.8294 0.1706 0.6855 O
0.6667 0.3333 0.8206 Te
0.3333 0.6667 0.1794 Te
0.0000 0.0000 0.5000 Mg

=====

Na5Ce3I12 PBE optimized geometry; E_form (uncorrected) = -1.142 eV per atom; space group = Ia-3d (230)
1.0
-6.1290 4.5878 -14.3379
-6.4127 -14.3008 4.3073
-3.6012 11.1620 11.2529
I Na Ce
48 20 12
direct
0.4526 0.7772 0.8701 I
0.5929 0.8701 0.4174 I
0.0826 0.1754 0.4526 I
0.6299 0.5826 0.9071 I
0.7772 0.4526 0.3701 I
0.7228 0.5929 0.1754 I
0.6754 0.2228 0.5929 I
0.9071 0.8246 0.7772 I
0.6754 0.4526 0.5826 I
0.9526 0.5826 0.1754 I
0.4071 0.1299 0.5826 I
0.8246 0.9071 0.2772 I
0.1299 0.7228 0.5474 I
0.4526 0.6754 0.0826 I
0.8701 0.2772 0.4526 I
0.8701 0.5929 0.9174 I
0.0826 0.9071 0.1299 I
0.1754 0.0929 0.7228 I
0.1299 0.4071 0.0826 I
0.9071 0.0826 0.6299 I
0.8246 0.9174 0.0474 I
0.0474 0.4174 0.8246 I
0.6299 0.0474 0.2228 I
0.0929 0.1754 0.2228 I
0.5474 0.2228 0.1299 I
0.1754 0.0826 0.9526 I
0.0474 0.6299 0.7228 I
0.0929 0.9174 0.3701 I
0.9174 0.0929 0.8701 I
0.9526 0.3701 0.2772 I
0.4174 0.0474 0.3246 I
0.3701 0.4174 0.0929 I
0.7228 0.1299 0.0474 I
0.3701 0.9526 0.7772 I
0.2228 0.6754 0.0929 I
0.5474 0.3246 0.9174 I
0.4071 0.2772 0.3246 I
0.2772 0.4071 0.8246 I
0.2772 0.8701 0.9526 I
0.4174 0.3701 0.5929 I
0.5826 0.9526 0.6754 I
0.3246 0.7772 0.4071 I
0.7772 0.3246 0.9071 I
0.3246 0.5474 0.4174 I
0.5826 0.6299 0.4071 I
0.5929 0.7228 0.6754 I
0.2228 0.5474 0.6299 I
0.9174 0.8246 0.5474 I
0.5000 0.5000 0.5000 Na
0.5000 0.5000 0.0000 Na
0.3750 0.1250 0.7500 Na
0.8750 0.6250 0.7500 Na
0.6250 0.7500 0.8750 Na
0.0000 0.0000 0.0000 Na
0.0000 0.5000 0.0000 Na
0.6250 0.8750 0.2500 Na
0.5000 0.0000 0.0000 Na
0.1250 0.3750 0.2500 Na
0.3750 0.2500 0.1250 Na
0.2500 0.8750 0.1250 Na
0.2500 0.3750 0.6250 Na
0.0000 0.5000 0.5000 Na
0.1250 0.7500 0.3750 Na
0.0000 0.0000 0.5000 Na
0.7500 0.6250 0.3750 Na
0.7500 0.1250 0.8750 Na
0.5000 0.0000 0.5000 Na
0.8750 0.2500 0.6250 Na
0.6250 0.2500 0.3750 Ce
0.8750 0.1250 0.2500 Ce
0.2500 0.6250 0.8750 Ce
0.6250 0.3750 0.7500 Ce
0.7500 0.8750 0.6250 Ce
0.7500 0.3750 0.1250 Ce
0.1250 0.8750 0.7500 Ce
0.3750 0.7500 0.6250 Ce
0.2500 0.1250 0.3750 Ce
0.3750 0.6250 0.2500 Ce
0.8750 0.7500 0.1250 Ce
0.1250 0.2500 0.8750 Ce

=====

LaPSeBr2 PBE optimized geometry; energy above the lowest structure with this stoichiometry = 0.5 kJ per mole of atoms; E_form (uncorrected) = -0.457 eV per atom; space group = P4/mmm (123)
1.0
5.8094 0.0000 0.0000
0.0000 5.8094 0.0000
0.0000 0.0000 5.9867
P Br Se La
1 2 1 1
direct
0.5000 0.5000 0.5000 P
0.5000 0.0000 0.0000 Br
0.0000 0.5000 0.0000 Br
0.0000 0.0000 0.5000 Se
0.0000 0.0000 0.0000 La

=====

Ti5Ga PBE optimized geometry; energy above the lowest structure with this stoichiometry = 0.0 kJ per mole of atoms; E_form = -0.191 eV per atom; space group = Cmmm (65)
1.0
4.0193 0.0000 0.0000
0.0000 4.0381 0.0000
0.0000 -2.0191 6.1526
Ga Ti
1 5
direct
0.0000 0.0000 0.0000 Ga
0.0000 0.6651 0.3301 Ti
0.0000 0.3349 0.6699 Ti
0.5000 0.5000 0.0000 Ti
0.5000 0.8343 0.6686 Ti
0.5000 0.1657 0.3314 Ti

=====

ErThRu2 PBE optimized geometry; E_form = -0.453 eV per atom; space group = Cmcm (63)
1.0
-2.7604 1.1682 -3.8764
-4.9333 -0.2967 3.4237
-1.1167 5.3895 2.4195
Er Th Ru
2 2 4
direct
0.7500 0.8829 0.8829 Er
0.2500 0.1171 0.1171 Er
0.2500 0.6323 0.6323 Th
0.7500 0.3677 0.3677 Th
0.7500 0.8682 0.3821 Ru
0.7500 0.3821 0.8682 Ru
0.2500 0.1318 0.6179 Ru
0.2500 0.6179 0.1318 Ru

=====

MgNb2Au PBE optimized geometry; E_form = 0.424 eV per atom; space group = I-42d (122)
1.0
-2.4686 -3.7386 -6.3488
5.7132 -5.1992 0.8402
0.0486 -5.9576 -1.2657
Mg Nb Au
2 4 2
direct
0.5000 0.5000 0.0000 Mg
0.2500 0.7500 0.5000 Mg
0.6429 0.1250 0.2500 Nb
0.8750 0.8929 0.7500 Nb
0.1071 0.6250 0.2500 Nb
0.3750 0.3571 0.7500 Nb
0.7500 0.2500 0.5000 Au
0.0000 0.0000 0.0000 Au

=====

Rb3TlCl6 PBE optimized geometry; E_form (uncorrected) = -1.483 eV per atom; space group = P2_1/c (14)
1.0
-7.2314 -2.6998 0.9531
2.9258 -6.2894 4.3830
-1.0705 5.9630 9.2712
Cl Tl Rb
12 2 6
direct
0.8335 0.7319 0.9299 Cl
0.3808 0.5480 0.7208 Cl
0.7279 0.1764 0.9472 Cl
0.1192 0.0480 0.7792 Cl
0.8808 0.9520 0.2208 Cl
0.1665 0.2681 0.0701 Cl
0.3335 0.7681 0.4299 Cl
0.6665 0.2319 0.5701 Cl
0.7721 0.6764 0.5528 Cl
0.2279 0.3236 0.4472 Cl
0.2721 0.8236 0.0528 Cl
0.6192 0.4520 0.2792 Cl
0.0000 0.0000 0.0000 Tl
0.5000 0.5000 0.5000 Tl
0.5260 0.9296 0.7528 Rb
0.0000 0.0000 0.5000 Rb
0.9740 0.4296 0.7472 Rb
0.4740 0.0704 0.2472 Rb
0.0260 0.5704 0.2528 Rb
0.5000 0.5000 0.0000 Rb

=====

TlAg3B PBE optimized geometry; energy above the lowest structure with this stoichiometry = 0.0 kJ per mole of atoms; E_form = 0.441 eV per atom; space group = Pm-3m (221)
1.0
4.5337 0.0000 0.0000
0.0000 4.5337 0.0000
0.0000 0.0000 4.5337
Ag B Tl
3 1 1
direct
0.5000 0.0000 0.0000 Ag
0.0000 0.0000 0.5000 Ag
0.0000 0.5000 0.0000 Ag
0.0000 0.0000 0.0000 B
0.5000 0.5000 0.5000 Tl

=====

SnS PBE optimized geometry; E_form (uncorrected) = -0.433 eV per atom; space group = P-1 (2)
1.0
6.0694 0.7241 -0.6531
-2.0704 5.3355 -1.2138
-2.3423 -4.2221 7.2451
Sn S
4 4
direct
0.7132 0.2566 0.4692 Sn
0.1816 0.2177 0.9315 Sn
0.2868 0.7434 0.5308 Sn
0.8184 0.7823 0.0685 Sn
0.1274 0.7295 0.9310 S
0.6795 0.7792 0.4804 S
0.8726 0.2705 0.0690 S
0.3205 0.2208 0.5196 S

=====

Ac2SmGa2Pd7 PBE optimized geometry; E_form = -0.809 eV per atom; space group = C2/m (12)
1.0
-1.2235 -3.7995 -1.4276
3.4721 -0.2560 -2.4187
7.6407 -7.5053 9.3658
Pd Ga Ac Sm
7 2 2 1
direct
0.3828 0.3828 0.4245 Pd
0.9542 0.4533 0.1485 Pd
0.5467 0.0458 0.8515 Pd
0.6172 0.6172 0.5755 Pd
0.0458 0.5467 0.8515 Pd
0.4533 0.9542 0.1485 Pd
0.5000 0.5000 0.0000 Pd
0.4246 0.4246 0.2444 Ga
0.5754 0.5754 0.7556 Ga
0.8980 0.8980 0.3549 Ac
0.1020 0.1020 0.6451 Ac
0.0000 0.0000 0.0000 Sm

=====

LaSm2Ho5 PBE optimized geometry; energy above the lowest structure with this stoichiometry = 0.6 kJ per mole of atoms; E_form = 0.030 eV per atom; space group = Immm (71)
1.0
3.4961 0.0001 -0.6945
-0.9416 10.0760 -4.7397
-0.1223 -2.1971 8.5272
Ho Sm La
5 2 1
direct
0.0000 0.5000 0.0000 Ho
0.6328 0.4042 0.2658 Ho
0.3672 0.1384 0.7342 Ho
0.3672 0.5958 0.7342 Ho
0.6328 0.8616 0.2658 Ho
0.2564 0.7568 0.5135 Sm
0.7436 0.2432 0.4865 Sm
0.0000 0.0000 0.0000 La

=====

KNbIr2 PBE optimized geometry; energy above the lowest structure with this stoichiometry = 0.8 kJ per mole of atoms; E_form = 0.710 eV per atom; space group = I-42d (122)
1.0
-2.8419 0.7760 6.8882
-0.3913 -7.4507 0.6779
1.1957 -3.3790 4.9480
Ir Nb K
4 2 2
direct
0.6778 0.1250 0.2500 Ir
0.3750 0.3222 0.7500 Ir
0.0722 0.6250 0.2500 Ir
0.8750 0.9278 0.7500 Ir
0.7500 0.2500 0.5000 Nb
0.0000 0.0000 0.0000 Nb
0.2500 0.7500 0.5000 K
0.5000 0.5000 0.0000 K